The following is a PBE-GGA calculation of a relaxed structure of Pr8Cd, from Alexandria.

Cell lengths 3.810, 9.239, 9.239 Å; angles 87.56, 78.10, 78.10 degrees
Positions (direct):
Pr  0.656  0.000  0.688
Pr  0.344  0.000  0.312
Pr  0.333  0.667  0.667
Pr  0.656  0.688  0.000
Pr  0.000  0.667  0.333
Pr  0.344  0.312  0.000
Pr  0.667  0.333  0.333
Pr  0.000  0.333  0.667
Cd  0.000  0.000  0.000

Summary:
Crystal system: tetragonal
Distance to the lowest polymorph of the same formula: 12 meV/atom
Calculated density: 6.612 g/cm³
DFT total energy: -0.320 Ry per atom
SG: I4/mmm (139)
Energy of formation: 2.1 kJ/mol of formula units
Spin magnetization: 0.00 μB/cell